The following is a GGA-PBE calculation of a relaxed structure of HOs, from the Alexandria database.

CIF file:
```
data_HOs
_chemical_formula_sum 'H4 Os4'
_cell_length_a 4.136
_cell_length_b 4.136
_cell_length_c 4.136
_cell_angle_alpha 90.00
_cell_angle_beta 90.00
_cell_angle_gamma 90.00
_symmetry_space_group_name_H-M 'F -4 3 m'
_symmetry_Int_Tables_number 216
_symmetry_space_group_name_Hall 'F -4 2 3'
loop_
_atom_site_label
_atom_site_fract_x
_atom_site_fract_y
_atom_site_fract_z
_atom_site_occupancy
H1 0.000 0.000 0.000 1
Os1 0.250 0.250 0.250 1
```

Output
Distance to the lowest polymorph of the same formula ... 0.251 eV per atom

---

The following is a GGA-PBE calculation of a relaxed structure of HOs, from the Alexandria database.

CIF file:
```
data_HOs
_chemical_formula_sum 'H6 Os6'
_cell_length_a 2.737
_cell_length_b 9.257
_cell_length_c 4.561
_cell_angle_alpha 90.00
_cell_angle_beta 90.00
_cell_angle_gamma 90.00
_symmetry_space_group_name_H-M 'I m m 2'
_symmetry_Int_Tables_number 44
_symmetry_space_group_name_Hall 'I 2 -2'
loop_
_atom_site_label
_atom_site_fract_x
_atom_site_fract_y
_atom_site_fract_z
_atom_site_occupancy
H1 0.000 0.000 0.000 1
H2 0.000 0.406 0.882 1
Os1 0.000 0.220 0.940 1
Os2 0.000 0.500 0.223 1
```

Output
Distance to the lowest polymorph of the same formula ... 0.000 eV per atom

---

The following is a GGA-PBE calculation of a relaxed structure of HOs8, from the Alexandria database.

CIF file:
```
data_HOs8
_chemical_formula_sum 'H1 Os8'
_cell_length_a 5.5562
_cell_length_b 5.5562
_cell_length_c 4.3608
_cell_angle_alpha 90.00
_cell_angle_beta 90.00
_cell_angle_gamma 120.00
_symmetry_space_group_name_H-M 'P -3 m 1'
_symmetry_Int_Tables_number 164
_symmetry_space_group_name_Hall '-P 3 2"'
loop_
_atom_site_label
_atom_site_fract_x
_atom_site_fract_y
_atom_site_fract_z
_atom_site_occupancy
H1 0.0000 0.0000 0.0000 1
Os1 0.1711 0.3422 0.7468 1
Os2 0.3333 0.6667 0.2491 1
```

---

The following is a GGA-PBE calculation of a relaxed structure of HOs, from the Alexandria database.

CIF file:
```
data_HOs
_chemical_formula_sum 'H4 Os4'
_cell_length_a 4.999
_cell_length_b 4.999
_cell_length_c 2.894
_cell_angle_alpha 90.00
_cell_angle_beta 90.00
_cell_angle_gamma 90.00
_symmetry_space_group_name_H-M 'P 42/m n m'
_symmetry_Int_Tables_number 136
_symmetry_space_group_name_Hall '-P 4n 2n'
loop_
_atom_site_label
_atom_site_fract_x
_atom_site_fract_y
_atom_site_fract_z
_atom_site_occupancy
H1 0.154 0.154 0.000 1
Os1 0.204 0.796 0.000 1
```

Output
Distance to the lowest polymorph of the same formula ... 0.345 eV per atom

---

The following is a GGA-PBE calculation of a relaxed structure of HOs, from the Alexandria database.

CIF file:
```
data_HOs
_chemical_formula_sum 'H8 Os8'
_cell_length_a 4.354
_cell_length_b 4.681
_cell_length_c 7.386
_cell_angle_alpha 90.00
_cell_angle_beta 90.00
_cell_angle_gamma 90.00
_symmetry_space_group_name_H-M 'P 21 21 21'
_symmetry_Int_Tables_number 19
_symmetry_space_group_name_Hall 'P 2ac 2ab'
loop_
_atom_site_label
_atom_site_fract_x
_atom_site_fract_y
_atom_site_fract_z
_atom_site_occupancy
H1 0.029 0.218 0.483 1
H2 0.063 0.874 0.759 1
Os1 0.162 0.622 0.214 1
Os2 0.227 0.882 0.540 1
```

Output
Distance to the lowest polymorph of the same formula ... 0.148 eV per atom

---

The following is a GGA-PBE calculation of a relaxed structure of HOs, from the Alexandria database.

CIF file:
```
data_HOs
_chemical_formula_sum 'H8 Os8'
_cell_length_a 5.399
_cell_length_b 5.399
_cell_length_c 5.399
_cell_angle_alpha 90.00
_cell_angle_beta 90.00
_cell_angle_gamma 90.00
_symmetry_space_group_name_H-M 'I -4 3 m'
_symmetry_Int_Tables_number 217
_symmetry_space_group_name_Hall 'I -4 2 3'
loop_
_atom_site_label
_atom_site_fract_x
_atom_site_fract_y
_atom_site_fract_z
_atom_site_occupancy
H1 0.128 0.128 0.128 1
Os1 0.191 0.191 0.809 1
```

Output
Distance to the lowest polymorph of the same formula ... 0.508 eV per atom

---

The following is a GGA-PBE calculation of a relaxed structure of HOs, from the Alexandria database.

CIF file:
```
data_HOs
_chemical_formula_sum 'H6 Os6'
_cell_length_a 5.094
_cell_length_b 5.094
_cell_length_c 5.094
_cell_angle_alpha 90.00
_cell_angle_beta 90.00
_cell_angle_gamma 90.00
_symmetry_space_group_name_H-M 'P m -3 n'
_symmetry_Int_Tables_number 223
_symmetry_space_group_name_Hall '-P 4n 2 3'
loop_
_atom_site_label
_atom_site_fract_x
_atom_site_fract_y
_atom_site_fract_z
_atom_site_occupancy
H1 0.000 0.250 0.500 1
Os1 0.000 0.500 0.250 1
```

Output
Distance to the lowest polymorph of the same formula ... 0.850 eV per atom

---

The following is a GGA-PBE calculation of a relaxed structure of HOs, from the Alexandria database.

CIF file:
```
data_HOs
_chemical_formula_sum 'H8 Os8'
_cell_length_a 7.764
_cell_length_b 7.764
_cell_length_c 2.754
_cell_angle_alpha 90.00
_cell_angle_beta 90.00
_cell_angle_gamma 90.00
_symmetry_space_group_name_H-M 'P 4/m'
_symmetry_Int_Tables_number 83
_symmetry_space_group_name_Hall '-P 4'
loop_
_atom_site_label
_atom_site_fract_x
_atom_site_fract_y
_atom_site_fract_z
_atom_site_occupancy
H1 0.129 0.862 0.000 1
H2 0.351 0.646 0.500 1
Os1 0.117 0.629 0.500 1
Os2 0.176 0.342 0.000 1
```

Output
Distance to the lowest polymorph of the same formula ... 0.061 eV per atom

---

The following is a GGA-PBE calculation of a relaxed structure of HOs, from the Alexandria database.

CIF file:
```
data_HOs
_chemical_formula_sum 'H6 Os6'
_cell_length_a 6.9644
_cell_length_b 6.9644
_cell_length_c 2.7354
_cell_angle_alpha 90.00
_cell_angle_beta 90.00
_cell_angle_gamma 120.00
_symmetry_space_group_name_H-M 'P 63/m'
_symmetry_Int_Tables_number 176
_symmetry_space_group_name_Hall '-P 6c'
loop_
_atom_site_label
_atom_site_fract_x
_atom_site_fract_y
_atom_site_fract_z
_atom_site_occupancy
H1 0.1791 0.5182 0.2500 1
Os1 0.0140 0.6827 0.2500 1
```

Output
Distance to the lowest polymorph of the same formula ... 0.171 eV per atom

---

The following is a GGA-PBE calculation of a relaxed structure of HOs, from the Alexandria database.

CIF file:
```
data_HOs
_chemical_formula_sum 'H2 Os2'
_cell_length_a 2.859
_cell_length_b 4.037
_cell_length_c 2.858
_cell_angle_alpha 90.00
_cell_angle_beta 90.00
_cell_angle_gamma 90.00
_symmetry_space_group_name_H-M 'I m m 2'
_symmetry_Int_Tables_number 44
_symmetry_space_group_name_Hall 'I 2 -2'
loop_
_atom_site_label
_atom_site_fract_x
_atom_site_fract_y
_atom_site_fract_z
_atom_site_occupancy
H1 0.000 0.000 0.000 1
Os1 0.000 0.500 0.966 1
```

Output
Distance to the lowest polymorph of the same formula ... 0.112 eV per atom

---

The following is a GGA-PBE calculation of a relaxed structure of PHOs3, from the Alexandria database.

CIF file:
```
data_PHOs3
_chemical_formula_sum 'P1 H1 Os3'
_cell_length_a 3.886
_cell_length_b 3.886
_cell_length_c 3.886
_cell_angle_alpha 90.00
_cell_angle_beta 90.00
_cell_angle_gamma 90.00
_symmetry_space_group_name_H-M 'P m -3 m'
_symmetry_Int_Tables_number 221
_symmetry_space_group_name_Hall '-P 4 2 3'
loop_
_atom_site_label
_atom_site_fract_x
_atom_site_fract_y
_atom_site_fract_z
_atom_site_occupancy
P1 0.000 0.000 0.000 1
H1 0.500 0.500 0.500 1
Os1 0.000 0.500 0.500 1
```

Output
Distance to the lowest polymorph of the same formula ... 0.000 eV per atom

---

The following is a GGA-PBE calculation of a relaxed structure of PH2Os, from the Alexandria database.

CIF file:
```
data_PH2Os
_chemical_formula_sum 'P4 H8 Os4'
_cell_length_a 5.144
_cell_length_b 5.144
_cell_length_c 5.144
_cell_angle_alpha 90.00
_cell_angle_beta 90.00
_cell_angle_gamma 90.00
_symmetry_space_group_name_H-M 'F m -3 m'
_symmetry_Int_Tables_number 225
_symmetry_space_group_name_Hall '-F 4 2 3'
loop_
_atom_site_label
_atom_site_fract_x
_atom_site_fract_y
_atom_site_fract_z
_atom_site_occupancy
P1 0.000 0.000 0.000 1
H1 0.250 0.250 0.250 1
Os1 0.000 0.000 0.500 1
```

Output
Distance to the lowest polymorph of the same formula ... 0.488 eV per atom

---

Number 1: electronic total energy -6.698 eV/atom, calculated volume 18 Å³/f.u.. Number 2: electronic total energy -6.949 eV/atom, calculated volume 19 Å³/f.u.. Number 3: electronic total energy -10.260 eV/atom, calculated volume 117 Å³/f.u.. Number 4: electronic total energy -6.604 eV/atom, calculated volume 18 Å³/f.u.. Number 5: electronic total energy -6.801 eV/atom, calculated volume 19 Å³/f.u.. Number 6: electronic total energy -6.441 eV/atom, calculated volume 20 Å³/f.u.. Number 7: electronic total energy -6.099 eV/atom, calculated volume 22 Å³/f.u.. Number 8: electronic total energy -6.888 eV/atom, calculated volume 21 Å³/f.u.. Number 9: electronic total energy -6.778 eV/atom, calculated volume 19 Å³/f.u.. Number 10: electronic total energy -6.837 eV/atom, calculated volume 16 Å³/f.u.. Number 11: electronic total energy -7.779 eV/atom, calculated volume 59 Å³/f.u.. Number 12: electronic total energy -4.767 eV/atom, calculated volume 34 Å³/f.u..